# 1
Computed, not measured: a relaxed Tb2DyHo crystal at the GGA-PBE level of DFT.

Results
The calculated volume comes out at 125.36 Å³ per cell. The calculation puts the relative energy among the computed polymorphs at 10 meV/atom. Its energy of formation from the pure elements is 0.018 eV/atom. The calculation puts the density of states at the Fermi level at 1.213 states/eV per atom.

abc: 3.539 3.539 10.009
angles: 90.00 90.00 90.00
Element x y z (fractional)
Tb 0.000 0.000 0.751
Tb 0.000 0.000 0.249
Ho 0.500 0.500 0.000
Dy 0.500 0.500 0.500

# 2
Computed, not measured: a relaxed MnSnAs2Rh crystal at the GGA-PBE level of DFT.

Results
The calculated volume comes out at 97.84 Å³ per cell. Its energy of formation from the pure elements is 0.421 eV/atom. The calculation puts the density of states at the Fermi level at 0.977 states/eV per atom.

abc: 4.494 4.845 4.494
angles: 90.00 90.00 90.00
Element x y z (fractional)
Sn 0.500 0.500 0.500
Rh 0.000 0.500 0.000
Mn 0.000 0.000 0.000
As 0.000 0.000 0.500
As 0.500 0.000 0.000

Please write out number 1 again, unchanged.
Computed, not measured: a relaxed Tb2DyHo crystal at the GGA-PBE level of DFT.

Results
The calculated volume comes out at 125.36 Å³ per cell. The calculation puts the relative energy among the computed polymorphs at 10 meV/atom. Its energy of formation from the pure elements is 0.018 eV/atom. The calculation puts the density of states at the Fermi level at 1.213 states/eV per atom.

abc: 3.539 3.539 10.009
angles: 90.00 90.00 90.00
Element x y z (fractional)
Tb 0.000 0.000 0.751
Tb 0.000 0.000 0.249
Ho 0.500 0.500 0.000
Dy 0.500 0.500 0.500